TbHfIn2 | GGA-PBE | optimized geometry

As for the space-group type: R-3m, No. 166. Its energy of formation is -0.114 eV per atom. The value obtained for the calculated density is 9422 kg/m³.

abc: 10.500 10.500 10.500
angles: 18.32 18.32 18.32
Sites, in units of the cell vectors:
Tb  0.000  0.000  0.000
Hf  0.500  0.500  0.500
In  0.246  0.246  0.246
In  0.754  0.754  0.754

---

Tb12HfIn3 | GGA-PBE | optimized geometry

As for the space-group type: P4/mmm, No. 123. Its energy of formation is -0.173 eV per atom. The value obtained for the calculated density is 8747 kg/m³.

abc: 4.849 4.849 19.622
angles: 90.00 90.00 90.00
Sites, in units of the cell vectors:
Tb  0.000  0.000  0.000
Tb  0.000  0.000  0.249
Tb  0.000  0.000  0.500
Tb  0.000  0.000  0.751
Tb  0.000  0.500  0.125
Tb  0.000  0.500  0.377
Tb  0.000  0.500  0.623
Tb  0.000  0.500  0.875
Tb  0.500  0.000  0.125
Tb  0.500  0.000  0.377
Tb  0.500  0.000  0.623
Tb  0.500  0.000  0.875
Hf  0.500  0.500  0.500
In  0.500  0.500  0.000
In  0.500  0.500  0.247
In  0.500  0.500  0.753

---

Taking the records one at a time from the top gives total moment values of 0.0, 0.0 μB per cell.